GGA-PBE Sr2ScCr, relaxed; ΔH_f (0 K) = 0.83 eV/atom; density of states at the Fermi level = 8.40 states/eV/f.u.; crystal system = tetragonal; total magnetization = 4.0 μB/f.u.
1.0
-4.540 4.540 3.337
4.540 -4.540 3.337
4.540 4.540 -3.337
Sr Sc Cr
4 2 2
Direct
0.090 0.625 0.965
0.375 0.340 0.465
0.660 0.125 0.035
0.875 0.910 0.535
0.250 0.750 0.500
0.500 0.500 0.000
0.000 0.000 0.000
0.750 0.250 0.500

---

GGA-PBE V4GeP, relaxed; ΔH_f (0 K) = -0.11 eV/atom; density of states at the Fermi level = 7.50 states/eV/f.u.; crystal system = monoclinic; total magnetization = 0.0 μB/f.u.
1.0
4.142 -1.297 0.000
4.142 1.297 0.000
-3.262 0.000 7.611
V Ge P
4 1 1
Direct
0.162 0.162 0.329
0.338 0.338 0.156
0.662 0.662 0.844
0.838 0.838 0.671
0.500 0.500 0.500
0.000 0.000 0.000

---

GGA-PBE K2OsRh2, relaxed; ΔH_f (0 K) = 1.53 eV/atom; density of states at the Fermi level = 4.46 states/eV/f.u.; crystal system = tetragonal; total magnetization = 1.9 μB/f.u.
1.0
-1.795 1.795 7.672
1.795 -1.795 7.672
1.795 1.795 -7.672
K Os Rh
2 1 2
Direct
0.250 0.750 0.500
0.750 0.250 0.500
0.000 0.000 0.000
0.418 0.418 0.000
0.582 0.582 0.000

---

GGA-PBE Rb2ZrInTe5, relaxed; uncorrected formation energy = -722 meV per atom; density of states at the Fermi level = 5.43 states/eV/f.u.; crystal system = orthorhombic; total magnetization = 0.0 μB/f.u.
1.0
2.097 -11.032 0.000
2.097 11.032 0.000
0.000 0.000 15.847
Rb Zr In Te
4 2 2 10
Direct
0.131 0.869 0.500
0.134 0.866 0.127
0.866 0.134 0.627
0.869 0.131 0.000
0.210 0.790 0.829
0.790 0.210 0.329
0.433 0.567 0.233
0.567 0.433 0.733
0.067 0.933 0.852
0.299 0.701 0.454
0.304 0.696 0.194
0.335 0.665 0.815
0.497 0.503 0.083
0.503 0.497 0.583
0.665 0.335 0.315
0.696 0.304 0.694
0.701 0.299 0.954
0.933 0.067 0.352

---

GGA-PBE PrSmGa4, relaxed; ΔH_f (0 K) = -0.56 eV/atom; density of states at the Fermi level = 4.40 states/eV/f.u.; crystal system = cubic; total magnetization = 0.0 μB/f.u.
1.0
0.000 3.980 3.980
3.980 0.000 3.980
3.980 3.980 0.000
Pr Sm Ga
1 1 4
Direct
0.000 0.000 0.000
0.250 0.250 0.250
0.125 0.625 0.625
0.625 0.125 0.625
0.625 0.625 0.125
0.625 0.625 0.625

---

GGA-PBE AsW3Cl, relaxed; uncorrected formation energy = 1727 meV per atom; density of states at the Fermi level = 4.47 states/eV/f.u.; crystal system = cubic; total magnetization = 0.0 μB/f.u.
1.0
4.454 0.000 0.000
0.000 4.454 0.000
0.000 0.000 4.454
As W Cl
1 3 1
Direct
0.000 0.000 0.000
0.000 0.500 0.500
0.500 0.000 0.500
0.500 0.500 0.000
0.500 0.500 0.500

---

GGA-PBE Ga2Ag5Sn, relaxed; ΔH_f (0 K) = 0.02 eV/atom; density of states at the Fermi level = 2.26 states/eV/f.u.; crystal system = orthorhombic; total magnetization = 0.0 μB/f.u.
1.0
-1.516 4.439 5.608
1.516 -4.439 5.608
1.516 4.439 -5.608
Ga Ag Sn
2 5 1
Direct
0.244 0.244 0.000
0.756 0.756 0.000
0.000 0.000 0.000
0.098 0.366 0.732
0.366 0.634 0.732
0.634 0.366 0.268
0.902 0.634 0.268
0.500 0.000 0.500

---

GGA-PBE NaIn5Hg3, relaxed; ΔH_f (0 K) = 0.06 eV/atom; density of states at the Fermi level = 2.76 states/eV/f.u.; crystal system = monoclinic; total magnetization = 0.0 μB/f.u.
1.0
7.500 -4.102 0.000
7.500 4.102 0.000
-4.865 0.000 8.920
Na In Hg
2 10 6
Direct
0.119 0.119 0.330
0.881 0.881 0.670
0.093 0.576 0.385
0.221 0.221 0.107
0.330 0.670 0.000
0.335 0.335 0.630
0.424 0.907 0.615
0.576 0.093 0.385
0.665 0.665 0.370
0.670 0.330 0.000
0.779 0.779 0.893
0.907 0.424 0.615
0.000 0.000 0.000
0.000 0.000 0.500
0.275 0.275 0.874
0.451 0.451 0.277
0.549 0.549 0.723
0.725 0.725 0.126

---

GGA-PBE Al2Cd2Cl, relaxed; uncorrected formation energy = -6 meV per atom; density of states at the Fermi level = 1.37 states/eV/f.u.; crystal system = tetragonal; total magnetization = 0.0 μB/f.u.
1.0
8.243 0.000 0.000
0.000 8.243 0.000
0.000 0.000 3.285
Al Cd Cl
4 4 2
Direct
0.112 0.388 0.000
0.388 0.888 0.000
0.612 0.112 0.000
0.888 0.612 0.000
0.191 0.691 0.500
0.309 0.191 0.500
0.691 0.809 0.500
0.809 0.309 0.500
0.000 0.000 0.500
0.500 0.500 0.500

---

GGA-PBE KSe2S2, relaxed; uncorrected formation energy = 124 meV per atom; density of states at the Fermi level = 4.13 states/eV/f.u.; crystal system = tetragonal; total magnetization = 1.0 μB/f.u.
1.0
-2.645 2.645 4.641
2.645 -2.645 4.641
2.645 2.645 -4.641
K Se S
1 2 2
Direct
0.000 0.000 0.000
0.377 0.377 0.000
0.623 0.623 0.000
0.250 0.750 0.500
0.750 0.250 0.500

---

GGA-PBE Nb3PtSe, relaxed; uncorrected formation energy = 1000 meV per atom; density of states at the Fermi level = 6.92 states/eV/f.u.; crystal system = cubic; total magnetization = 0.0 μB/f.u.
1.0
4.925 0.000 0.000
0.000 4.925 0.000
0.000 0.000 4.925
Nb Pt Se
3 1 1
Direct
0.000 0.000 0.500
0.000 0.500 0.000
0.500 0.000 0.000
0.000 0.000 0.000
0.500 0.500 0.500

---

GGA-PBE DyScSbTe, relaxed; uncorrected formation energy = -1151 meV per atom; density of states at the Fermi level = 1.99 states/eV/f.u.; crystal system = trigonal; total magnetization = 0.0 μB/f.u.
1.0
2.136 1.233 6.992
-2.136 1.233 6.992
0.000 -2.466 6.992
Dy Sc Sb Te
1 1 1 1
Direct
0.000 0.000 0.000
0.508 0.508 0.508
0.249 0.249 0.249
0.758 0.758 0.758

---

GGA-PBE PrY2Ho3Te6, relaxed; uncorrected formation energy = -1300 meV per atom; density of states at the Fermi level = 6.76 states/eV/f.u.; crystal system = monoclinic; total magnetization = 0.0 μB/f.u.
1.0
9.555 -2.176 0.000
9.555 2.176 0.000
-2.042 0.000 8.578
Pr Y Ho Te
1 2 3 6
Direct
0.000 0.000 0.000
0.336 0.336 0.672
0.664 0.664 0.328
0.000 0.000 0.500
0.338 0.338 0.167
0.662 0.662 0.833
0.168 0.168 0.585
0.173 0.173 0.084
0.499 0.499 0.739
0.501 0.501 0.261
0.827 0.827 0.916
0.832 0.832 0.415

---

GGA-PBE ZrAg2Sb, relaxed; uncorrected formation energy = -93 meV per atom; density of states at the Fermi level = 2.26 states/eV/f.u.; crystal system = monoclinic; total magnetization = 0.0 μB/f.u.
1.0
3.106 0.000 0.000
0.000 4.886 0.000
-0.496 0.000 5.554
Zr Ag Sb
1 2 1
Direct
0.000 0.000 0.000
0.479 0.500 0.760
0.521 0.500 0.240
0.500 0.000 0.500

---

GGA-PBE KLiCu2, relaxed; ΔH_f (0 K) = 0.52 eV/atom; density of states at the Fermi level = 0.64 states/eV/f.u.; crystal system = tetragonal; total magnetization = 0.0 μB/f.u.
1.0
-2.334 2.334 4.028
2.334 -2.334 4.028
2.334 2.334 -4.028
K Li Cu
1 1 2
Direct
0.000 0.000 0.000
0.500 0.500 0.000
0.250 0.750 0.500
0.750 0.250 0.500

---

GGA-PBE CeCuAu11, relaxed; ΔH_f (0 K) = -0.18 eV/atom; density of states at the Fermi level = 11.29 states/eV/f.u.; crystal system = monoclinic; total magnetization = 1.0 μB/f.u.
1.0
2.794 -6.774 0.000
2.794 6.774 0.000
-2.755 0.000 6.640
Ce Cu Au
1 1 11
Direct
0.000 0.000 0.000
0.500 0.500 0.500
0.000 0.000 0.500
0.000 0.500 0.000
0.019 0.356 0.352
0.297 0.507 0.782
0.356 0.019 0.352
0.493 0.703 0.218
0.500 0.000 0.000
0.507 0.297 0.782
0.644 0.981 0.648
0.703 0.493 0.218
0.981 0.644 0.648

---

GGA-PBE CeTh4O10, relaxed; uncorrected formation energy = -3809 meV per atom; density of states at the Fermi level = 0.00 states/eV/f.u.; crystal system = trigonal; total magnetization = 0.0 μB/f.u.
1.0
1.978 1.142 16.115
-1.978 1.142 16.115
0.000 -2.284 16.115
Ce Th O
1 4 10
Direct
0.000 0.000 0.000
0.200 0.200 0.200
0.399 0.399 0.399
0.601 0.601 0.601
0.800 0.800 0.800
0.049 0.049 0.049
0.150 0.150 0.150
0.251 0.251 0.251
0.349 0.349 0.349
0.449 0.449 0.449
0.551 0.551 0.551
0.651 0.651 0.651
0.749 0.749 0.749
0.850 0.850 0.850
0.951 0.951 0.951

---

GGA-PBE BeGeSbW, relaxed; uncorrected formation energy = 453 meV per atom; density of states at the Fermi level = 2.88 states/eV/f.u.; crystal system = orthorhombic; total magnetization = 0.0 μB/f.u.
1.0
3.189 0.000 0.000
0.000 3.970 0.000
0.000 0.000 5.880
Be Ge Sb W
1 1 1 1
Direct
0.000 0.000 0.000
0.500 0.000 0.681
0.000 0.500 0.243
0.000 0.500 0.731

---

GGA-PBE Y2AlHgCl, relaxed; uncorrected formation energy = 432 meV per atom; density of states at the Fermi level = 8.63 states/eV/f.u.; crystal system = tetragonal; total magnetization = 0.0 μB/f.u.
1.0
5.659 0.000 0.000
0.000 5.659 0.000
0.000 0.000 5.560
Y Al Hg Cl
2 1 1 1
Direct
0.000 0.500 0.000
0.500 0.000 0.000
0.000 0.000 0.500
0.500 0.500 0.000
0.500 0.500 0.500

---

GGA-PBE CeNpCoOs, relaxed; ΔH_f (0 K) = 0.06 eV/atom; density of states at the Fermi level = 11.30 states/eV/f.u.; crystal system = cubic; total magnetization = 1.9 μB/f.u.
1.0
0.000 3.251 3.251
3.251 0.000 3.251
3.251 3.251 0.000
Ce Np Co Os
1 1 1 1
Direct
0.000 0.000 0.000
0.750 0.750 0.750
0.250 0.250 0.250
0.500 0.500 0.500